Entry 1:
Entry from Alexandria via LeMat-Bulk: an optimized crystal structure of Tl5Te2S (PBE).

**Magnetization**: 0.000 Bohr magnetons per cell
**E_tot**: -94.70 eV/cell
**N(E_F)**: 0.25 states/eV/atom
**Volume**: 1442.5 Å³ per cell

Lattice parameters (Å, degrees): 6.378 16.195 13.966 90.00 90.00 90.00
Space group Cmcm (No. 63)
Asymmetric unit:
Tl: 0.000 0.060 0.126
Tl: 0.000 0.289 0.750
Tl: 0.000 0.306 0.080
Te: 0.000 0.153 0.575
S: 0.000 0.210 0.250

Entry 2:
Entry from Alexandria via LeMat-Bulk: an optimized crystal structure of FeHgPS2 (PBE).

**Magnetization**: 2.175 Bohr magnetons per cell
**E above lowest polymorph**: 0 meV per atom
**N(E_F)**: 1.01 states/eV/atom
**Volume**: 93.9 Å³ per cell

Lattice parameters (Å, degrees): 4.647 4.647 4.348 90.00 90.00 90.00
Space group P4/mmm (No. 123)
Asymmetric unit:
Fe: 0.000 0.000 0.000
Hg: 0.500 0.500 0.500
P: 0.000 0.000 0.500
S: 0.000 0.500 0.000

Entry 3:
Entry from Alexandria via LeMat-Bulk: an optimized crystal structure of CeTa2Ag2S6 (PBE).

**Magnetization**: 2.175 Bohr magnetons per cell
**E_tot**: -139.95 eV/cell
**N(E_F)**: 0.58 states/eV/atom
**Volume**: 485.4 Å³ per cell

Lattice parameters (Å, degrees): 6.578 10.811 6.828 90.00 91.77 90.00
Space group C2/m (No. 12)
Asymmetric unit:
Ce: 0.000 0.000 0.000
Ta: 0.000 0.364 0.000
Ag: 0.000 0.130 0.500
S: 0.144 0.500 0.759
S: 0.193 0.189 0.798

Entry 4:
Entry from Alexandria via LeMat-Bulk: an optimized crystal structure of Sr2ZrFe (PBE).

**Magnetization**: 0.796 Bohr magnetons per cell
**E above lowest polymorph**: 550 meV per atom
**Formation energy from the elements**: 81.6 kJ/mol of atoms
**N(E_F)**: 1.80 states/eV/atom
**Volume**: 114.3 Å³ per cell

Lattice parameters (Å, degrees): 4.622 4.622 5.351 90.00 90.00 90.00
Space group P4/mmm (No. 123)
Asymmetric unit:
Sr: 0.000 0.500 0.000
Zr: 0.000 0.000 0.500
Fe: 0.500 0.500 0.500

Entry 5:
Entry from Alexandria via LeMat-Bulk: an optimized crystal structure of TiGe3C (PBE).

**Magnetization**: 1.443 Bohr magnetons per cell
**E above lowest polymorph**: 715 meV per atom
**Formation energy from the elements**: 156.8 kJ/mol of atoms
**N(E_F)**: 0.61 states/eV/atom
**Volume**: 118.0 Å³ per cell

Lattice parameters (Å, degrees): 4.905 4.905 4.905 90.00 90.00 90.00
Space group Pm-3m (No. 221)
Asymmetric unit:
Ti: 0.000 0.000 0.000
Ge: 0.000 0.000 0.500
C: 0.500 0.500 0.500

Entry 6:
Entry from Alexandria via LeMat-Bulk: an optimized crystal structure of ZrTe2P (PBE).

**Magnetization**: 0.000 Bohr magnetons per cell
**E above lowest polymorph**: 668 meV per atom
**N(E_F)**: 1.39 states/eV/atom
**Volume**: 362.2 Å³ per cell

Lattice parameters (Å, degrees): 7.128 7.128 7.128 90.00 90.00 90.00
Space group F-43m (No. 216)
Asymmetric unit:
Zr: 0.000 0.000 0.000
Te: 0.000 0.000 0.500
Te: 0.250 0.250 0.250
P: 0.250 0.250 0.750

Entry 7:
Entry from Alexandria via LeMat-Bulk: an optimized crystal structure of CaVRu2 (PBE).

**Magnetization**: 3.190 Bohr magnetons per cell
**E above lowest polymorph**: 762 meV per atom
**Formation energy from the elements**: 71.8 kJ/mol of atoms
**N(E_F)**: 1.33 states/eV/atom
**Volume**: 353.1 Å³ per cell

Lattice parameters (Å, degrees): 4.672 4.672 16.178 90.00 90.00 90.00
Space group I-42d (No. 122)
Asymmetric unit:
Ca: 0.000 0.000 0.000
V: 0.000 0.000 0.500
Ru: 0.101 0.250 0.625

Entry 8:
Entry from Alexandria via LeMat-Bulk: an optimized crystal structure of TcNiCl2 (PBE).

**Magnetization**: 15.573 Bohr magnetons per cell
**E above lowest polymorph**: 943 meV per atom
**N(E_F)**: 1.50 states/eV/atom
**Volume**: 268.6 Å³ per cell

Lattice parameters (Å, degrees): 6.452 6.452 6.452 90.00 90.00 90.00
Space group F-43m (No. 216)
Asymmetric unit:
Tc: 0.000 0.000 0.000
Ni: 0.250 0.250 0.750
Cl: 0.000 0.000 0.500
Cl: 0.250 0.250 0.250

Entry 9:
Entry from Alexandria via LeMat-Bulk: an optimized crystal structure of Mo2PPd (PBE).

**Magnetization**: 0.000 Bohr magnetons per cell
**Formation energy from the elements**: 9.5 kJ/mol of atoms
**N(E_F)**: 1.30 states/eV/atom
**Volume**: 254.5 Å³ per cell

Lattice parameters (Å, degrees): 7.107 7.107 5.038 90.00 90.00 90.00
Space group I-42d (No. 122)
Asymmetric unit:
Mo: 0.197 0.750 0.125
P: 0.000 0.000 0.000
Pd: 0.000 0.000 0.500

Entry 10:
Entry from Alexandria via LeMat-Bulk: an optimized crystal structure of LaB5O9 (PBE).

**Magnetization**: 0.000 Bohr magnetons per cell
**E_tot**: -491.58 eV/cell
**N(E_F)**: 0.00 states/eV/atom
**Volume**: 615.1 Å³ per cell

Lattice parameters (Å, degrees): 6.502 11.840 8.282 90.00 105.28 90.00
Space group P2_1/c (No. 14)
Asymmetric unit:
La: 0.249 0.173 0.137
B: 0.021 0.597 0.727
B: 0.210 0.057 0.453
B: 0.276 0.750 0.334
B: 0.314 0.631 0.594
B: 0.352 0.037 0.754
O: 0.087 0.613 0.571
O: 0.089 0.697 0.839
O: 0.102 0.011 0.301
O: 0.217 0.098 0.826
O: 0.255 0.169 0.448
O: 0.278 0.509 0.095
O: 0.365 0.663 0.438
O: 0.392 0.721 0.722
O: 0.436 0.526 0.662

Entry 11:
Entry from Alexandria via LeMat-Bulk: an optimized crystal structure of TaAsOs2 (PBE).

**Magnetization**: 0.000 Bohr magnetons per cell
**Formation energy from the elements**: 18.7 kJ/mol of atoms
**N(E_F)**: 0.30 states/eV/atom
**Volume**: 63.1 Å³ per cell

Lattice parameters (Å, degrees): 4.472 4.472 3.155 90.00 90.00 90.00
Space group P4/mmm (No. 123)
Asymmetric unit:
Ta: 0.000 0.000 0.000
As: 0.500 0.500 0.000
Os: 0.000 0.500 0.500

Entry 12:
Entry from Alexandria via LeMat-Bulk: an optimized crystal structure of Dy3YZr2N6 (PBE).

**Magnetization**: 0.000 Bohr magnetons per cell
**E_tot**: -215.98 eV/cell
**N(E_F)**: 0.24 states/eV/atom
**Volume**: 331.0 Å³ per cell

Lattice parameters (Å, degrees): 14.784 3.386 6.801 90.00 103.48 90.00
Space group C2/m (No. 12)
Asymmetric unit:
Dy: 0.000 0.000 0.000
Dy: 0.167 0.500 0.333
Y: 0.000 0.000 0.500
Zr: 0.167 0.500 0.835
N: 0.007 0.500 0.755
N: 0.168 0.000 0.598
N: 0.171 0.000 0.074